Record 1
This record from the Alexandria database describes a relaxed AcDyCuAu crystal. The functional is PBE.

Cell: 4.0529 4.7600 5.8346 Å, 90.00 110.32 90.00°
Element x y z (fractional)
Au 0.4308 0.0000 0.8616
Cu 0.5781 0.5000 0.1562
Dy 0.1355 0.0000 0.2710
Ac 0.8556 0.5000 0.7112

Results
ΔE to the lowest computed polymorph (eV per formula unit): 0.000
Energy of formation from the pure elements (eV per atom): -0.4709
Calculated total energy (eV/atom): -4.492
Magnetization (μB per formula unit): 0.00

Record 2
This record from the Alexandria database describes a relaxed MoOsPb2Se crystal. The functional is PBE.

Cell: 5.9064 3.3185 5.9171 Å, 90.00 100.58 90.00°
Element x y z (fractional)
Pb 0.3094 0.0000 0.5022
Pb 0.1246 0.5000 0.9532
Mo 0.8878 0.5000 0.4033
Os 0.7707 0.0000 0.6801
Se 0.6739 0.0000 0.0982

Results
ΔE to the lowest computed polymorph (eV per formula unit): 0.048
Calculated total energy (eV/atom): -6.277
Magnetization (μB per formula unit): 0.00

Record 3
This record from the Alexandria database describes a relaxed La3Nd2ThSe6 crystal. The functional is PBE.

Cell: 4.2689 8.5324 9.5348 Å, 102.89 102.94 90.00°
Element x y z (fractional)
Se 0.3313 0.4194 0.6627
Se 0.6657 0.0859 0.3315
Se 0.9991 0.7530 0.9983
Se 0.3343 0.9141 0.6685
Se 0.0009 0.2470 0.0017
Se 0.6687 0.5806 0.3373
La 0.8336 0.1665 0.6673
La 0.5000 0.5000 0.0000
La 0.1664 0.8335 0.3327
Nd 0.8345 0.6688 0.6690
Nd 0.1655 0.3312 0.3310
Th 0.5000 0.0000 0.0000

Results
Calculated total energy (eV/atom): -6.254
Magnetization (μB per formula unit): 0.00

Record 4
This record from the Alexandria database describes a relaxed TbLu2Bi crystal. The functional is PBE.

Cell: 4.8573 4.8061 4.8061 Å, 90.00 90.00 90.00°
Element x y z (fractional)
Lu 0.0000 0.0000 0.5000
Lu 0.0000 0.5000 0.0000
Bi 0.5000 0.0000 0.0000
Tb 0.5000 0.5000 0.5000

Results
ΔE to the lowest computed polymorph (eV per formula unit): 0.044
Energy of formation from the pure elements (eV per atom): -0.2851
Calculated total energy (eV/atom): -4.673
Magnetization (μB per formula unit): 0.62

Record 5
This record from the Alexandria database describes a relaxed RbSr3B crystal. The functional is PBE.

Cell: 6.0325 6.0325 6.0325 Å, 90.00 90.00 90.00°
Element x y z (fractional)
B 0.0000 0.0000 0.0000
Rb 0.5000 0.5000 0.5000
Sr 0.0000 0.5000 0.0000
Sr 0.5000 0.0000 0.0000
Sr 0.0000 0.0000 0.5000

Results
ΔE to the lowest computed polymorph (eV per formula unit): 0.000
Energy of formation from the pure elements (eV per atom): 0.3907
Calculated total energy (eV/atom): -2.147
Magnetization (μB per formula unit): 0.00

Record 6
This record from the Alexandria database describes a relaxed BaAl4Ag9 crystal. The functional is PBE.

Cell: 9.2859 9.2859 9.2015 Å, 120.30 120.30 90.00°
Element x y z (fractional)
Ag 0.1800 0.6800 0.6217
Ag 0.4417 0.9417 0.6217
Ag 0.4366 0.7032 0.0000
Ag 0.7032 0.5634 0.0000
Ag 0.5634 0.2968 0.0000
Ag 0.2032 0.9366 0.0000
Ag 0.2968 0.4366 0.0000
Ag 0.9366 0.7968 0.0000
Ag 0.6800 0.4417 0.6217
Ag 0.8200 0.3200 0.3783
Ag 0.5583 0.0583 0.3783
Ag 0.3200 0.5583 0.3783
Ag 0.0000 0.5000 0.0000
Ag 0.9417 0.1800 0.6217
Ag 0.0634 0.2032 0.0000
Ag 0.5000 0.0000 0.0000
Ag 0.0583 0.8200 0.3783
Ag 0.7968 0.0634 0.0000
Al 0.7136 0.2136 0.7798
Al 0.2136 0.0663 0.7798
Al 0.0663 0.5663 0.7798
Al 0.7864 0.9337 0.2202
Al 0.5663 0.7136 0.7798
Al 0.9337 0.4337 0.2202
Al 0.4337 0.2864 0.2202
Al 0.2864 0.7864 0.2202
Ba 0.7500 0.7500 0.5000
Ba 0.2500 0.2500 0.5000

Results
Energy of formation from the pure elements (eV per atom): -0.1500
Calculated total energy (eV/atom): -3.190
Magnetization (μB per formula unit): 0.00

Record 7
This record from the Alexandria database describes a relaxed PrNd3Hg4 crystal. The functional is PBE.

Cell: 5.4251 5.4250 8.6260 Å, 108.34 108.33 90.00°
Element x y z (fractional)
Hg 0.1258 0.1259 0.2516
Hg 0.6258 0.6259 0.2516
Hg 0.8742 0.8741 0.7484
Hg 0.3742 0.3741 0.7484
Nd 0.2495 0.7496 0.4990
Nd 0.0000 0.5000 0.0000
Nd 0.7505 0.2504 0.5010
Pr 0.5000 0.0000 0.0000

Results
ΔE to the lowest computed polymorph (eV per formula unit): 0.000
Energy of formation from the pure elements (eV per atom): -0.4748
Calculated total energy (eV/atom): -3.011
Magnetization (μB per formula unit): 1.90

Record 8
This record from the Alexandria database describes a relaxed Tb4BiTe2Se crystal. The functional is PBE.

Cell: 4.3161 7.5477 7.5310 Å, 70.84 90.00 90.00°
Element x y z (fractional)
Tb 0.5000 0.2627 0.7646
Tb 0.5000 0.7373 0.2354
Tb 0.0000 0.7259 0.7752
Tb 0.0000 0.2741 0.2247
Te 0.5000 0.0000 0.5000
Te 0.0000 0.0000 0.0000
Bi 0.0000 0.5000 0.5000
Se 0.5000 0.5000 0.0000

Results
Calculated total energy (eV/atom): -5.339
Magnetization (μB per formula unit): 0.00

Record 9
This record from the Alexandria database describes a relaxed MgGaAgO crystal. The functional is PBE.

Cell: 3.2174 3.2174 7.5892 Å, 90.00 90.00 120.00°
Element x y z (fractional)
Ag 0.3333 0.6667 0.3420
Ga 0.6667 0.3333 0.0698
Mg 0.0000 0.0000 0.7138
O 0.3333 0.6667 0.6462

Results
ΔE to the lowest computed polymorph (eV per formula unit): 0.326
Calculated total energy (eV/atom): -4.103
Magnetization (μB per formula unit): 0.00

Record 10
This record from the Alexandria database describes a relaxed YEr3Al crystal. The functional is PBE.

Cell: 3.5524 6.6916 12.3533 Å, 84.58 90.00 74.61°
Element x y z (fractional)
Al 0.5494 0.9013 0.6221
Al 0.4506 0.0987 0.3779
Er 0.1405 0.7186 0.4513
Er 0.6354 0.7288 0.9822
Er 0.0328 0.9345 0.1940
Er 0.3646 0.2712 0.0178
Er 0.8595 0.2814 0.5487
Er 0.9672 0.0655 0.8060
Y 0.2244 0.5515 0.7480
Y 0.7756 0.4485 0.2520

Results
ΔE to the lowest computed polymorph (eV per formula unit): 0.000
Energy of formation from the pure elements (eV per atom): -0.1556
Calculated total energy (eV/atom): -4.935
Magnetization (μB per formula unit): 0.46

Record 11
This record from the Alexandria database describes a relaxed Cs2GaHg crystal. The functional is PBE.

Cell: 6.3184 4.4863 11.3235 Å, 113.32 89.68 135.28°
Element x y z (fractional)
Hg 0.5841 0.9245 0.5522
Ga 0.0842 0.9251 0.0524
Cs 0.8225 0.4027 0.2920
Cs 0.3457 0.4466 0.8124

Results
ΔE to the lowest computed polymorph (eV per formula unit): 0.000
Energy of formation from the pure elements (eV per atom): 0.0730
Calculated total energy (eV/atom): -1.186
Magnetization (μB per formula unit): 0.62

Record 12
This record from the Alexandria database describes a relaxed CeTh2ReN4 crystal. The functional is PBE.

Cell: 3.4038 6.3096 12.1408 Å, 90.00 90.00 105.65°
Element x y z (fractional)
Th 0.3671 0.7342 0.5508
Th 0.6329 0.2658 0.0508
Th 0.3671 0.7342 0.9492
Th 0.6329 0.2658 0.4492
N 0.2798 0.5596 0.1333
N 0.0000 0.0000 0.5000
N 0.4571 0.9143 0.7500
N 0.0000 0.0000 0.0000
N 0.5429 0.0857 0.2500
N 0.2798 0.5596 0.3667
N 0.7202 0.4404 0.6333
N 0.7202 0.4404 0.8667
Re 0.1511 0.3022 0.2500
Re 0.8489 0.6978 0.7500
Ce 0.8894 0.7788 0.2500
Ce 0.1106 0.2212 0.7500

Results
Calculated total energy (eV/atom): -9.380
Magnetization (μB per formula unit): 0.04